A geometry-optimized VAsO5 structure, computed with PBE+U.

Lattice parameters (Å, degrees): 6.449 9.190 9.117 90.00 134.94 90.00
Sites, in units of the cell vectors:
V 0.127 0.185 0.156
V 0.127 0.315 0.656
V 0.873 0.685 0.344
V 0.873 0.815 0.844
As 0.373 0.748 0.843
As 0.373 0.752 0.343
As 0.627 0.248 0.657
As 0.627 0.252 0.157
O 0.118 0.142 0.645
O 0.118 0.358 0.145
O 0.131 0.630 0.637
O 0.131 0.870 0.137
O 0.199 0.640 0.379
O 0.199 0.860 0.879
O 0.371 0.141 0.442
O 0.371 0.359 0.942
O 0.455 0.141 0.195
O 0.455 0.359 0.695
O 0.545 0.641 0.305
O 0.545 0.859 0.805
O 0.629 0.641 0.058
O 0.629 0.859 0.558
O 0.801 0.140 0.121
O 0.801 0.360 0.621
O 0.869 0.130 0.863
O 0.869 0.370 0.363
O 0.882 0.642 0.855
O 0.882 0.858 0.355

Summary:
* distance to the lowest polymorph of the same formula: 7 meV/atom